{"formula": "DyPa2CrN5", "functional": "PBE", "state": "relaxed", "lattice": [[-2.063, 1.599, 2.096], [2.198, -5.531, 3.711], [7.761, 5.429, 3.496]], "species": ["Dy", "Dy", "Pa", "Pa", "Pa", "Pa", "Cr", "Cr", "N", "N", "N", "N", "N", "N", "N", "N", "N", "N"], "fractional_positions": [[0.798, 0.596, 0.504], [0.202, 0.404, 0.004], [0.860, 0.720, 0.805], [0.111, 0.222, 0.688], [0.140, 0.280, 0.305], [0.889, 0.778, 0.188], [0.515, 0.030, 0.967], [0.485, 0.970, 0.467], [0.370, 0.740, 0.003], [0.667, 0.334, 0.850], [0.481, 0.962, 0.783], [0.284, 0.568, 0.677], [0.966, 0.932, 0.547], [0.630, 0.260, 0.503], [0.333, 0.666, 0.350], [0.519, 0.038, 0.283], [0.716, 0.432, 0.177], [0.034, 0.068, 0.047]], "space_group": "Cmc2_1, No. 36", "raw_formation_energy_kj_per_mol_fu": -1088}



{"formula": "Pm3Dy5Y4", "functional": "PBE", "state": "relaxed", "lattice": [[-4.406, 2.221, -3.301], [-7.466, -3.470, 2.292], [-0.767, 9.430, 2.030]], "species": ["Pm", "Pm", "Pm", "Dy", "Dy", "Dy", "Dy", "Dy", "Y", "Y", "Y", "Y"], "fractional_positions": [[0.523, 0.685, 0.268], [0.000, 0.500, 0.500], [0.477, 0.315, 0.732], [0.623, 0.950, 0.803], [0.500, 0.500, 0.500], [0.214, 0.458, 0.113], [0.786, 0.542, 0.887], [0.377, 0.050, 0.197], [0.859, 0.222, 0.060], [0.168, 0.041, 0.622], [0.832, 0.959, 0.378], [0.141, 0.778, 0.940]], "formation_energy_kj_per_mol_atoms": 22, "space_group": "C2/m, No. 12"}



{"formula": "DyHfAgRh", "functional": "PBE", "state": "relaxed", "lattice": [[-4.281, -1.048, -2.018], [-3.554, -1.892, 2.700], [-3.905, 2.663, 1.079]], "species": ["Rh", "Hf", "Ag", "Dy"], "fractional_positions": [[0.000, 0.000, 0.000], [0.250, 0.250, 0.250], [0.500, 0.500, 0.500], [0.750, 0.750, 0.750]], "formation_energy_kj_per_mol_atoms": -40, "space_group": "F-43m, No. 216"}



{"formula": "Cs2PaCd2S6", "functional": "PBE", "state": "relaxed", "lattice": [[7.752, 0.000, 0.000], [3.876, 6.713, 0.000], [3.876, 2.238, 7.235]], "species": ["Cs", "Cs", "Pa", "Cd", "Cd", "S", "S", "S", "S", "S", "S"], "fractional_positions": [[0.783, 0.783, 0.652], [0.217, 0.217, 0.348], [0.000, 0.000, 0.000], [0.404, 0.404, 0.789], [0.596, 0.596, 0.211], [0.771, 0.771, 0.232], [0.226, 0.771, 0.232], [0.771, 0.226, 0.232], [0.229, 0.774, 0.768], [0.774, 0.229, 0.768], [0.229, 0.229, 0.768]], "space_group": "R-3m, No. 166", "raw_formation_energy_kj_per_mol_fu": -1015}



{"formula": "RbHf2Au", "functional": "PBE", "state": "relaxed", "lattice": [[0.000, 3.532, 3.532], [3.532, 0.000, 3.532], [3.532, 3.532, 0.000]], "species": ["Hf", "Hf", "Au", "Rb"], "fractional_positions": [[0.250, 0.250, 0.250], [0.750, 0.750, 0.750], [0.500, 0.500, 0.500], [0.000, 0.000, 0.000]], "formation_energy_kj_per_mol_atoms": 82, "space_group": "Fm-3m, No. 225"}



{"formula": "MnIn2Au", "functional": "PBE", "state": "relaxed", "lattice": [[-2.596, -1.190, -2.072], [1.099, -3.581, 0.679], [-3.667, -0.229, 4.726]], "species": ["Au", "In", "In", "Mn"], "fractional_positions": [[0.500, 0.500, 0.740], [0.000, 0.000, 0.981], [0.500, 0.500, 0.273], [0.000, 0.000, 0.506]], "formation_energy_kj_per_mol_atoms": 7, "space_group": "Pmm2, No. 25"}



{"formula": "LiNiOs", "functional": "PBE", "state": "relaxed", "lattice": [[-1.246, -0.025, 3.774], [-3.789, -0.862, 0.837], [-0.911, -3.440, 1.770]], "species": ["Li", "Ni", "Os"], "fractional_positions": [[0.000, 0.000, 0.000], [0.500, 0.500, 0.500], [0.250, 0.250, 0.250]], "formation_energy_kj_per_mol_atoms": 93, "space_group": "F-43m, No. 216"}



{"formula": "CeHoTcRu", "functional": "PBE", "state": "relaxed", "lattice": [[-4.394, 1.043, -1.736], [-3.428, -3.412, -0.114], [-3.785, 0.272, 3.002]], "species": ["Ru", "Ho", "Ce", "Tc"], "fractional_positions": [[0.250, 0.250, 0.250], [0.500, 0.500, 0.500], [0.000, 0.000, 0.000], [0.750, 0.750, 0.750]], "formation_energy_kj_per_mol_atoms": -18, "space_group": "F-43m, No. 216"}